[1]
Computed, not measured: crystalline IrRu2Pt at its relaxed geometry at the GGA-PBEsol level of DFT.

CIF file:
```
data_IrRu2Pt
_symmetry_space_group_name_H-M 'R -3 m'
_symmetry_Int_Tables_number 166
_symmetry_space_group_name_Hall '-R 3 2"'
_cell_length_a 2.6906
_cell_length_b 2.6906
_cell_length_c 26.5980
_cell_angle_alpha 90.00
_cell_angle_beta 90.00
_cell_angle_gamma 120.00
loop_
_atom_site_label
_atom_site_fract_x
_atom_site_fract_y
_atom_site_fract_z
_atom_site_occupancy
Ir1 0.0000 0.0000 0.0000 1
Ru1 0.0000 0.0000 0.2518 1
Pt1 0.0000 0.0000 0.5000 1
```

Summary:
The value obtained for the energy of formation from the pure elements is 0.0303 eV/atom. As for the final energy: -0.6801 Ry/atom.



[2]
Computed, not measured: crystalline IrRu2Pt at its relaxed geometry at the GGA-PBEsol level of DFT.

CIF file:
```
data_IrRu2Pt
_symmetry_space_group_name_H-M 'P m m m'
_symmetry_Int_Tables_number 47
_symmetry_space_group_name_Hall '-P 2 2'
_cell_length_a 2.687
_cell_length_b 3.835
_cell_length_c 5.385
_cell_angle_alpha 90.00
_cell_angle_beta 90.00
_cell_angle_gamma 90.00
loop_
_atom_site_label
_atom_site_fract_x
_atom_site_fract_y
_atom_site_fract_z
_atom_site_occupancy
Ir1 0.000 0.000 0.000 1
Ru1 0.500 0.500 0.244 1
Pt1 0.000 0.000 0.500 1
```

Summary:
The value obtained for the energy of formation from the pure elements is 0.0165 eV/atom. As for the final energy: -0.6811 Ry/atom.



[3]
Computed, not measured: crystalline IrRu2Pt at its relaxed geometry at the GGA-PBEsol level of DFT.

CIF file:
```
data_IrRu2Pt
_symmetry_space_group_name_H-M 'R 3 m'
_symmetry_Int_Tables_number 160
_symmetry_space_group_name_Hall 'R 3 -2"'
_cell_length_a 2.6933
_cell_length_b 2.6933
_cell_length_c 26.5746
_cell_angle_alpha 90.00
_cell_angle_beta 90.00
_cell_angle_gamma 120.00
loop_
_atom_site_label
_atom_site_fract_x
_atom_site_fract_y
_atom_site_fract_z
_atom_site_occupancy
Ir1 0.0000 0.0000 0.0000 1
Ru1 0.0000 0.0000 0.2517 1
Ru2 0.0000 0.0000 0.5062 1
Pt1 0.0000 0.0000 0.7542 1
```

Summary:
The value obtained for the energy of formation from the pure elements is 0.0242 eV/atom. As for the final energy: -0.6805 Ry/atom.



[4]
Computed, not measured: crystalline IrRu2Pt at its relaxed geometry at the GGA-PBEsol level of DFT.

CIF file:
```
data_IrRu2Pt
_symmetry_space_group_name_H-M 'I 4/m m m'
_symmetry_Int_Tables_number 139
_symmetry_space_group_name_Hall '-I 4 2'
_cell_length_a 3.799
_cell_length_b 3.799
_cell_length_c 7.680
_cell_angle_alpha 90.00
_cell_angle_beta 90.00
_cell_angle_gamma 90.00
loop_
_atom_site_label
_atom_site_fract_x
_atom_site_fract_y
_atom_site_fract_z
_atom_site_occupancy
Ir1 0.000 0.000 0.000 1
Ru1 0.000 0.500 0.250 1
Pt1 0.000 0.000 0.500 1
```

Summary:
The value obtained for the energy of formation from the pure elements is 0.0304 eV/atom. As for the final energy: -0.6801 Ry/atom.



[5]
Computed, not measured: crystalline IrRu2Pt at its relaxed geometry at the GGA-PBEsol level of DFT.

CIF file:
```
data_IrRu2Pt
_symmetry_space_group_name_H-M 'P 4/m m m'
_symmetry_Int_Tables_number 123
_symmetry_space_group_name_Hall '-P 4 2'
_cell_length_a 2.687
_cell_length_b 2.687
_cell_length_c 7.686
_cell_angle_alpha 90.00
_cell_angle_beta 90.00
_cell_angle_gamma 90.00
loop_
_atom_site_label
_atom_site_fract_x
_atom_site_fract_y
_atom_site_fract_z
_atom_site_occupancy
Ir1 0.000 0.000 0.000 1
Ru1 0.500 0.500 0.244 1
Pt1 0.000 0.000 0.500 1
```

Summary:
The value obtained for the energy of formation from the pure elements is 0.0129 eV/atom. As for the final energy: -0.6813 Ry/atom.



[6]
Computed, not measured: crystalline IrRu2Pt at its relaxed geometry at the GGA-PBEsol level of DFT.

CIF file:
```
data_IrRu2Pt
_symmetry_space_group_name_H-M 'P m m 2'
_symmetry_Int_Tables_number 25
_symmetry_space_group_name_Hall 'P 2 -2'
_cell_length_a 2.692
_cell_length_b 3.812
_cell_length_c 5.411
_cell_angle_alpha 90.00
_cell_angle_beta 90.00
_cell_angle_gamma 90.00
loop_
_atom_site_label
_atom_site_fract_x
_atom_site_fract_y
_atom_site_fract_z
_atom_site_occupancy
Ir1 0.000 0.000 0.000 1
Ru1 0.000 0.000 0.517 1
Ru2 0.500 0.500 0.755 1
Pt1 0.500 0.500 0.261 1
```

Summary:
The value obtained for the energy of formation from the pure elements is 0.0210 eV/atom. As for the final energy: -0.6807 Ry/atom.